First-principles (GGA-PBE) data for crystalline Pr2DyGa at its relaxed geometry, as listed in Alexandria via LeMat-Bulk.

Output
- Polymorph energy (0 for the lowest one): 0.000 eV per atom
- Uncorrected energy: -0.3344 Ry per atom
- Calculated formation energy: -1.01 eV per formula unit

Geometry as extended XYZ:
```
8
Lattice="3.731 0.000 0.000 0.000 10.031 0.000 -1.864 0.000 6.473" Properties=species:S:1:pos:R:3 pbc="T T T"
Pr 0.001 0.496 1.754
Pr 0.001 4.520 1.754
Pr 1.866 5.511 4.720
Pr 1.866 9.536 4.720
Dy -0.002 2.508 5.726
Dy 1.868 7.523 0.747
Ga 0.005 7.523 3.115
Ga 1.861 2.508 3.358
```